A geometry-optimized Co4Ni15W structure. Source: the Alexandria database, functional PBE-GGA.

Structure (CIF):
```
data_Co4Ni15W
_chemical_formula_sum 'Co4 Ni15 W1'
_cell_length_a 3.5590
_cell_length_b 3.5590
_cell_length_c 17.5884
_cell_angle_alpha 90.00
_cell_angle_beta 90.00
_cell_angle_gamma 90.00
_space_group_name_H-M_alt 'P 4/m m m'
_space_group_IT_number 123
_space_group_name_Hall '-P 4 2'
loop_
_atom_site_label
_atom_site_type_symbol
_atom_site_fract_x
_atom_site_fract_y
_atom_site_fract_z
Co1 Co 0.0000 0.0000 0.0981
Co2 Co 0.0000 0.0000 0.2930
Ni1 Ni 0.0000 0.5000 0.0000
Ni2 Ni 0.0000 0.5000 0.1970
Ni3 Ni 0.0000 0.5000 0.3968
Ni4 Ni 0.5000 0.5000 0.0984
Ni5 Ni 0.5000 0.5000 0.2962
Ni6 Ni 0.5000 0.5000 0.5000
W1 W 0.0000 0.0000 0.5000
```

Energy of formation = 0.2 eV/f.u.
Total energy = -0.470 Ry/atom
N(E_F) = 28.94 states/eV/cell


A geometry-optimized Co2Ni8W structure. Source: the Alexandria database, functional PBE-GGA.

Structure (CIF):
```
data_Co2Ni8W
_chemical_formula_sum 'Co4 Ni16 W2'
_cell_length_a 12.4279
_cell_length_b 4.6869
_cell_length_c 4.5010
_cell_angle_alpha 90.00
_cell_angle_beta 100.47
_cell_angle_gamma 90.00
_space_group_name_H-M_alt 'C 1 2/m 1'
_space_group_IT_number 12
_space_group_name_Hall '-C 2y'
loop_
_atom_site_label
_atom_site_type_symbol
_atom_site_fract_x
_atom_site_fract_y
_atom_site_fract_z
Co1 Co 0.1861 0.0000 0.0859
Ni1 Ni 0.0056 0.0000 0.2484
Ni2 Ni 0.1072 0.5000 0.0580
Ni3 Ni 0.1687 0.2419 0.5971
W1 W 0.0000 0.5000 0.5000
```

Energy of formation = 1.2 eV/f.u.
Energy relative to the lowest polymorph listed for this composition = 0.00 kJ/mol of atoms
Total energy = -0.483 Ry/atom
N(E_F) = 23.41 states/eV/cell


A geometry-optimized CoNi2W structure. Source: the Alexandria database, functional PBE-GGA.

Structure (CIF):
```
data_CoNi2W
_chemical_formula_sum 'Co3 Ni6 W3'
_cell_length_a 2.6331
_cell_length_b 2.6331
_cell_length_c 25.0155
_cell_angle_alpha 90.00
_cell_angle_beta 90.00
_cell_angle_gamma 120.00
_space_group_name_H-M_alt 'R 3 m'
_space_group_IT_number 160
_space_group_name_Hall 'R 3 -2"'
loop_
_atom_site_label
_atom_site_type_symbol
_atom_site_fract_x
_atom_site_fract_y
_atom_site_fract_z
Co1 Co 0.0000 0.0000 0.0000
Ni1 Ni 0.0000 0.0000 0.4920
Ni2 Ni 0.0000 0.0000 0.7451
W1 W 0.0000 0.0000 0.2456
```

Energy of formation = 0.8 eV/f.u.
Energy relative to the lowest polymorph listed for this composition = 26.27 kJ/mol of atoms
Total energy = -0.567 Ry/atom
N(E_F) = 15.24 states/eV/cell


A geometry-optimized CoNi2W structure. Source: the Alexandria database, functional PBE-GGA.

Structure (CIF):
```
data_CoNi2W
_chemical_formula_sum 'Co2 Ni4 W2'
_cell_length_a 3.5454
_cell_length_b 3.5454
_cell_length_c 7.5495
_cell_angle_alpha 90.00
_cell_angle_beta 90.00
_cell_angle_gamma 90.00
_space_group_name_H-M_alt 'I 4/m m m'
_space_group_IT_number 139
_space_group_name_Hall '-I 4 2'
loop_
_atom_site_label
_atom_site_type_symbol
_atom_site_fract_x
_atom_site_fract_y
_atom_site_fract_z
Co1 Co 0.0000 0.0000 0.0000
Ni1 Ni 0.0000 0.5000 0.2500
W1 W 0.0000 0.0000 0.5000
```

Energy of formation = -0.3 eV/f.u.
Energy relative to the lowest polymorph listed for this composition = 1.07 kJ/mol of atoms
Total energy = -0.586 Ry/atom
N(E_F) = 6.62 states/eV/cell


A geometry-optimized CoNi2W structure. Source: the Alexandria database, functional PBE-GGA.

Structure (CIF):
```
data_CoNi2W
_chemical_formula_sum 'Co3 Ni6 W3'
_cell_length_a 2.6250
_cell_length_b 2.6250
_cell_length_c 25.1899
_cell_angle_alpha 90.00
_cell_angle_beta 90.00
_cell_angle_gamma 120.00
_space_group_name_H-M_alt 'R -3 m'
_space_group_IT_number 166
_space_group_name_Hall '-R 3 2"'
loop_
_atom_site_label
_atom_site_type_symbol
_atom_site_fract_x
_atom_site_fract_y
_atom_site_fract_z
Co1 Co 0.0000 0.0000 0.0000
Ni1 Ni 0.0000 0.0000 0.2542
W1 W 0.0000 0.0000 0.5000
```

Energy of formation = 0.8 eV/f.u.
Energy relative to the lowest polymorph listed for this composition = 25.88 kJ/mol of atoms
Total energy = -0.567 Ry/atom
N(E_F) = 13.38 states/eV/cell


A geometry-optimized CoNi2W structure. Source: the Alexandria database, functional PBE-GGA.

Structure (CIF):
```
data_CoNi2W
_chemical_formula_sum 'Co1 Ni2 W1'
_cell_length_a 2.6378
_cell_length_b 2.6378
_cell_length_c 7.0425
_cell_angle_alpha 90.00
_cell_angle_beta 90.00
_cell_angle_gamma 90.00
_space_group_name_H-M_alt 'P 4 m m'
_space_group_IT_number 99
_space_group_name_Hall 'P 4 -2'
loop_
_atom_site_label
_atom_site_type_symbol
_atom_site_fract_x
_atom_site_fract_y
_atom_site_fract_z
Co1 Co 0.0000 0.0000 0.0000
Ni1 Ni 0.0000 0.0000 0.4690
Ni2 Ni 0.5000 0.5000 0.2288
W1 W 0.5000 0.5000 0.7338
```

Energy of formation = 0.4 eV/f.u.
Energy relative to the lowest polymorph listed for this composition = 15.86 kJ/mol of atoms
Total energy = -0.575 Ry/atom
N(E_F) = 5.61 states/eV/cell


A geometry-optimized CoNiW structure. Source: the Alexandria database, functional PBE-GGA.

Structure (CIF):
```
data_CoNiW
_chemical_formula_sum 'Co4 Ni4 W4'
_cell_length_a 2.5906
_cell_length_b 13.0431
_cell_length_c 4.6132
_cell_angle_alpha 90.00
_cell_angle_beta 90.00
_cell_angle_gamma 90.00
_space_group_name_H-M_alt 'C m c m'
_space_group_IT_number 63
_space_group_name_Hall '-C 2c 2'
loop_
_atom_site_label
_atom_site_type_symbol
_atom_site_fract_x
_atom_site_fract_y
_atom_site_fract_z
Co1 Co 0.0000 0.1593 0.2500
Ni1 Ni 0.0000 0.0000 0.0000
W1 W 0.0000 0.3368 0.2500
```

Energy of formation = 1.0 eV/f.u.
Energy relative to the lowest polymorph listed for this composition = 34.11 kJ/mol of atoms
Total energy = -0.609 Ry/atom
N(E_F) = 14.30 states/eV/cell


A geometry-optimized CoNiW structure. Source: the Alexandria database, functional PBE-GGA.

Structure (CIF):
```
data_CoNiW
_chemical_formula_sum 'Co4 Ni4 W4'
_cell_length_a 5.5442
_cell_length_b 5.5442
_cell_length_c 5.5442
_cell_angle_alpha 90.00
_cell_angle_beta 90.00
_cell_angle_gamma 90.00
_space_group_name_H-M_alt 'F -4 3 m'
_space_group_IT_number 216
_space_group_name_Hall 'F -4 2 3'
loop_
_atom_site_label
_atom_site_type_symbol
_atom_site_fract_x
_atom_site_fract_y
_atom_site_fract_z
Co1 Co 0.0000 0.0000 0.0000
Ni1 Ni 0.2500 0.2500 0.2500
W1 W 0.2500 0.2500 0.7500
```

Energy of formation = 1.6 eV/f.u.
Energy relative to the lowest polymorph listed for this composition = 54.86 kJ/mol of atoms
Total energy = -0.593 Ry/atom
N(E_F) = 18.60 states/eV/cell


A geometry-optimized CoNiW structure. Source: the Alexandria database, functional PBE-GGA.

Structure (CIF):
```
data_CoNiW
_chemical_formula_sum 'Co4 Ni4 W4'
_cell_length_a 3.5472
_cell_length_b 11.6428
_cell_length_c 3.6112
_cell_angle_alpha 90.00
_cell_angle_beta 90.00
_cell_angle_gamma 90.00
_space_group_name_H-M_alt 'C m c m'
_space_group_IT_number 63
_space_group_name_Hall '-C 2c 2'
loop_
_atom_site_label
_atom_site_type_symbol
_atom_site_fract_x
_atom_site_fract_y
_atom_site_fract_z
Co1 Co 0.0000 0.0758 0.2500
Ni1 Ni 0.0000 0.2510 0.7500
W1 W 0.0000 0.4072 0.2500
```

Energy of formation = 0.1 eV/f.u.
Energy relative to the lowest polymorph listed for this composition = 4.65 kJ/mol of atoms
Total energy = -0.632 Ry/atom
N(E_F) = 15.57 states/eV/cell


A geometry-optimized CoNiW structure. Source: the Alexandria database, functional PBE-GGA.

Structure (CIF):
```
data_CoNiW
_chemical_formula_sum 'Co1 Ni1 W1'
_cell_length_a 2.6726
_cell_length_b 2.6726
_cell_length_c 6.2696
_cell_angle_alpha 90.00
_cell_angle_beta 90.00
_cell_angle_gamma 120.00
_space_group_name_H-M_alt 'P 3 m 1'
_space_group_IT_number 156
_space_group_name_Hall 'P 3 -2"'
loop_
_atom_site_label
_atom_site_type_symbol
_atom_site_fract_x
_atom_site_fract_y
_atom_site_fract_z
Co1 Co 0.0000 0.0000 0.0000
Ni1 Ni 0.3333 0.6667 0.3196
W1 W 0.6667 0.3333 0.6649
```

Energy of formation = 0.7 eV/f.u.
Energy relative to the lowest polymorph listed for this composition = 25.88 kJ/mol of atoms
Total energy = -0.616 Ry/atom
N(E_F) = 3.03 states/eV/cell


A geometry-optimized CoNi2W structure. Source: the Alexandria database, functional PBE-GGA.

Structure (CIF):
```
data_CoNi2W
_chemical_formula_sum 'Co2 Ni4 W2'
_cell_length_a 5.0751
_cell_length_b 7.3969
_cell_length_c 2.6091
_cell_angle_alpha 90.00
_cell_angle_beta 90.00
_cell_angle_gamma 90.00
_space_group_name_H-M_alt 'C m m m'
_space_group_IT_number 65
_space_group_name_Hall '-C 2 2'
loop_
_atom_site_label
_atom_site_type_symbol
_atom_site_fract_x
_atom_site_fract_y
_atom_site_fract_z
Co1 Co 0.0000 0.0000 0.0000
Ni1 Ni 0.2500 0.2500 0.5000
W1 W 0.0000 0.5000 0.0000
```

Energy of formation = 0.4 eV/f.u.
Energy relative to the lowest polymorph listed for this composition = 17.38 kJ/mol of atoms
Total energy = -0.573 Ry/atom
N(E_F) = 10.39 states/eV/cell


A geometry-optimized CoNi2W structure. Source: the Alexandria database, functional PBE-GGA.

Structure (CIF):
```
data_CoNi2W
_chemical_formula_sum 'Co1 Ni2 W1'
_cell_length_a 2.6289
_cell_length_b 3.5718
_cell_length_c 5.1300
_cell_angle_alpha 90.00
_cell_angle_beta 90.00
_cell_angle_gamma 90.00
_space_group_name_H-M_alt 'P m m 2'
_space_group_IT_number 25
_space_group_name_Hall 'P 2 -2'
loop_
_atom_site_label
_atom_site_type_symbol
_atom_site_fract_x
_atom_site_fract_y
_atom_site_fract_z
Co1 Co 0.0000 0.0000 0.0000
Ni1 Ni 0.0000 0.0000 0.4819
Ni2 Ni 0.5000 0.5000 0.2477
W1 W 0.5000 0.5000 0.7485
```

Energy of formation = 0.1 eV/f.u.
Energy relative to the lowest polymorph listed for this composition = 8.62 kJ/mol of atoms
Total energy = -0.580 Ry/atom
N(E_F) = 3.89 states/eV/cell


A geometry-optimized CoNi2W structure. Source: the Alexandria database, functional PBE-GGA.

Structure (CIF):
```
data_CoNi2W
_chemical_formula_sum 'Co4 Ni8 W4'
_cell_length_a 5.7821
_cell_length_b 5.7821
_cell_length_c 5.7821
_cell_angle_alpha 90.00
_cell_angle_beta 90.00
_cell_angle_gamma 90.00
_space_group_name_H-M_alt 'F m -3 m'
_space_group_IT_number 225
_space_group_name_Hall '-F 4 2 3'
loop_
_atom_site_label
_atom_site_type_symbol
_atom_site_fract_x
_atom_site_fract_y
_atom_site_fract_z
Co1 Co 0.0000 0.0000 0.0000
Ni1 Ni 0.2500 0.2500 0.2500
W1 W 0.0000 0.0000 0.5000
```

Energy of formation = 0.7 eV/f.u.
Energy relative to the lowest polymorph listed for this composition = 23.94 kJ/mol of atoms
Total energy = -0.568 Ry/atom
N(E_F) = 20.24 states/eV/cell